## ScRhC3 (GGA-PBE)

Data for a relaxed ScRhC3 crystal.

Calculated values
Energy above the lowest structure with this stoichiometry = 1007.1 meV per atom
ΔE_f = 2629 meV/atom

Cell lengths 4.0917, 4.0917, 4.0917 Å; angles 90.00, 90.00, 90.00 degrees
Last column: nearest neighbours and their distance in Å.
Space group Pm-3m (No. 221)
Inequivalent atoms, fractional coordinates:
Sc1 0.0000 0.0000 0.0000 x1  6 C 2.05
Rh1 0.5000 0.5000 0.5000 x1  12 C 2.89
C1 0.0000 0.0000 0.5000 x3  2 Sc 2.05

---

## SrY2Mg (GGA-PBE)

Data for a relaxed SrY2Mg crystal.

Calculated values
ΔE_f = 365 meV/atom

Cell lengths 9.0933, 9.0933, 6.7978 Å; angles 90.00, 90.00, 90.00 degrees
Last column: nearest neighbours and their distance in Å.
Space group I-42d (No. 122)
Inequivalent atoms, fractional coordinates:
Sr1 0.0000 0.0000 0.0000 x4  2 Mg 3.40, 4 Y 3.57
Y1 0.2123 0.7500 0.6250 x8  2 Mg 3.10, 2 Y 3.47
Mg1 0.0000 0.0000 0.5000 x4  4 Y 3.10, 2 Sr 3.40

---

## ScMo (GGA-PBE)

Data for a relaxed ScMo crystal.

Calculated values
Energy above the lowest structure with this stoichiometry = 227.9 meV per atom
ΔE_f = 204 meV/atom

Cell lengths 3.3434, 4.6438, 4.6729 Å; angles 90.00, 90.00, 90.00 degrees
Last column: nearest neighbours and their distance in Å.
Space group Cmmm (No. 65)
Inequivalent atoms, fractional coordinates:
Sc1 0.0000 0.0000 0.0000 x2  4 Sc 2.86, 4 Mo 2.87
Mo1 0.0000 0.5000 0.5000 x2  4 Mo 2.86, 4 Sc 2.87

---

## BaNdAgBi (GGA-PBE)

Data for a relaxed BaNdAgBi crystal.

Calculated values
ΔE_f = -443 meV/atom

Cell lengths 8.0789, 8.0789, 8.0789 Å; angles 90.00, 90.00, 90.00 degrees
Last column: nearest neighbours and their distance in Å.
Space group F-43m (No. 216)
Inequivalent atoms, fractional coordinates:
Ba1 0.0000 0.0000 0.0000 x4  4 Bi 3.50, 4 Ag 3.50
Nd1 0.0000 0.0000 0.5000 x4  4 Bi 3.50, 4 Ag 3.50
Ag1 0.2500 0.2500 0.7500 x4  4 Ba 3.50, 4 Nd 3.50
Bi1 0.2500 0.2500 0.2500 x4  4 Ba 3.50, 4 Nd 3.50

---

Which total DFT energy (no corrections) belongs to each record? In order, -5.642 -3.686 -8.378 -3.799 eV per atom.